# 1
Sr2HgIr2 | PBE | optimized geometry

a b c (Å): 5.9543 5.9543 5.7638
angles (deg): 58.90 58.90 90.00
Fractional coordinates of all 5 atoms:
Sr 0.7500 0.2500 0.5000
Sr 0.2500 0.7500 0.5000
Ir 0.3451 0.3451 0.3098
Ir 0.6549 0.6549 0.6902
Hg 0.0000 0.0000 0.0000

DFT total energy	-20.93	eV/cell
ΔH_f (0 K)	0.09	eV/atom
energy relative to the lowest polymorph listed for this composition	228	meV per atom
space-group type	I4/mmm



# 2
Mg2RuBr | PBE | optimized geometry

a b c (Å): 5.2021 5.2021 5.2021
angles (deg): 133.41 133.41 68.01
Fractional coordinates of all 4 atoms:
Br 0.7500 0.2500 0.5000
Mg 0.0000 0.0000 0.0000
Mg 0.5000 0.5000 0.0000
Ru 0.2500 0.7500 0.5000

DFT total energy	-13.00	eV/cell
formation energy (no corrections)	0.285	eV per atom
energy relative to the lowest polymorph listed for this composition	504	meV per atom
space-group type	I4/mmm



# 3
Li3Ac2ErBi4 | PBE | optimized geometry

a b c (Å): 4.8872 4.8872 12.0920
angles (deg): 90.00 90.00 90.00
Last column: magnetic moment on the atom in μB.
Fractional coordinates of all 10 atoms:
Li 0.0000 0.0000 0.5000  0.00
Li 0.5000 0.0000 0.8846  0.00
Li 0.0000 0.5000 0.1154  0.00
Ac 0.5000 0.0000 0.2263  0.04
Ac 0.0000 0.5000 0.7737  0.04
Er 0.5000 0.5000 0.5000  0.11
Bi 0.5000 0.5000 0.0000  0.00
Bi 0.0000 0.0000 0.0000  0.00
Bi 0.5000 0.0000 0.6591  0.00
Bi 0.0000 0.5000 0.3409  0.00

DFT total energy	-40.15	eV/cell
ΔH_f (0 K)	-0.61	eV/atom
space-group type	P-4m2



# 4
Sm14DyAl | PBE | optimized geometry

a b c (Å): 6.9478 6.9478 11.2155
angles (deg): 90.00 90.00 105.79
Fractional coordinates of all 16 atoms:
Sm 0.3837 0.6163 0.5000
Sm 0.8164 0.1836 0.5000
Sm 0.9005 0.6753 0.0000
Sm 0.8877 0.6888 0.5000
Sm 0.3247 0.0995 0.0000
Sm 0.3112 0.1123 0.5000
Sm 0.6877 0.9002 0.7679
Sm 0.6877 0.9002 0.2321
Sm 0.0998 0.3123 0.7679
Sm 0.0998 0.3123 0.2321
Sm 0.1793 0.8207 0.7420
Sm 0.1793 0.8207 0.2580
Sm 0.6151 0.3849 0.7658
Sm 0.6151 0.3849 0.2342
Dy 0.3828 0.6172 0.0000
Al 0.8294 0.1706 0.0000

DFT total energy	-74.08	eV/cell
ΔH_f (0 K)	0.02	eV/atom
space-group type	Amm2



# 5
BaH2O2 | PBE | optimized geometry

a b c (Å): 7.5272 7.3796 11.4139
angles (deg): 55.28 90.00 90.00
Fractional coordinates of all 40 atoms:
Ba 0.9056 0.3249 0.9019
Ba 0.5944 0.3249 0.4019
Ba 0.0944 0.6751 0.0981
Ba 0.4056 0.6751 0.5981
Ba 0.9533 0.9807 0.3298
Ba 0.5467 0.9807 0.8298
Ba 0.0467 0.0193 0.6702
Ba 0.4533 0.0193 0.1702
H 0.9800 0.5732 0.6135
H 0.5200 0.5732 0.1135
H 0.0200 0.4268 0.3865
H 0.4800 0.4268 0.8865
H 0.2208 0.2693 0.1786
H 0.2792 0.2693 0.6786
H 0.7792 0.7307 0.8214
H 0.7208 0.7307 0.3214
H 0.2786 0.1872 0.8843
H 0.2214 0.1872 0.3843
H 0.7214 0.8128 0.1157
H 0.7786 0.8128 0.6157
H 0.2326 0.5716 0.4080
H 0.2674 0.5716 0.9080
H 0.7674 0.4284 0.5920
H 0.7326 0.4284 0.0920
O 0.0206 0.6943 0.6196
O 0.4794 0.6943 0.1196
O 0.9794 0.3057 0.3804
O 0.5206 0.3057 0.8804
O 0.1548 0.3031 0.0936
O 0.3452 0.3031 0.5936
O 0.8452 0.6969 0.9064
O 0.6548 0.6969 0.4064
O 0.1835 0.1029 0.8761
O 0.3165 0.1029 0.3761
O 0.8165 0.8971 0.1239
O 0.6835 0.8971 0.6239
O 0.1840 0.7073 0.3235
O 0.3160 0.7073 0.8235
O 0.8160 0.2927 0.6765
O 0.6840 0.2927 0.1765

DFT total energy	-219.47	eV/cell
space-group type	P2_1/c



# 6
NiGeAs3 | PBE | optimized geometry

a b c (Å): 4.6582 4.6582 4.6582
angles (deg): 90.00 90.00 90.00
Fractional coordinates of all 5 atoms:
Ni 0.0000 0.0000 0.0000
As 0.0000 0.5000 0.0000
As 0.0000 0.0000 0.5000
As 0.5000 0.0000 0.0000
Ge 0.5000 0.5000 0.5000

DFT total energy	-21.83	eV/cell
ΔH_f (0 K)	0.50	eV/atom
energy relative to the lowest polymorph listed for this composition	474	meV per atom
space-group type	Pm-3m



# 7
Li2SnPbCl8 | PBE | optimized geometry

a b c (Å): 6.4898 6.9047 8.3770
angles (deg): 69.50 91.12 101.10
Fractional coordinates of all 12 atoms:
Li 0.5302 0.3427 0.6842
Li 0.4698 0.6573 0.3158
Sn 0.0000 0.0000 0.0000
Pb 0.0000 0.0000 0.5000
Cl 0.1191 0.7674 0.2818
Cl 0.6624 0.7558 0.0466
Cl 0.8631 0.2011 0.1514
Cl 0.8809 0.2326 0.7182
Cl 0.3376 0.2442 0.9534
Cl 0.1369 0.7989 0.8486
Cl 0.6018 0.7182 0.5613
Cl 0.3982 0.2818 0.4387

DFT total energy	-41.42	eV/cell
formation energy (no corrections)	-1.259	eV per atom
space-group type	P-1



# 8
Np2BiAu | PBE | optimized geometry

a b c (Å): 5.2892 5.2892 5.2892
angles (deg): 60.00 60.00 60.00
Last column: magnetic moment on the atom in μB.
Fractional coordinates of all 4 atoms:
Np 0.2500 0.2500 0.2500  4.36
Np 0.7500 0.7500 0.7500  4.36
Au 0.5000 0.5000 0.5000  0.09
Bi 0.0000 0.0000 0.0000  -0.08

DFT total energy	-32.80	eV/cell
ΔH_f (0 K)	0.06	eV/atom
energy relative to the lowest polymorph listed for this composition	13	meV per atom
space-group type	Fm-3m